Record 1
Material: NbBOs
Method: DFT, GGA-PBEsol
State: optimized geometry

Results
- SG = Pbam (55)
- formation energy from the elements (eV per atom) = -0.548

POSCAR file:
```
NbBOs
1.0
3.085 0.000 0.000
0.000 9.056 0.000
0.000 0.000 15.743
Nb B Os
12 12 12
direct
0.000 0.800 0.496
0.000 0.200 0.504
0.000 0.300 0.004
0.000 0.700 0.996
0.000 0.515 0.594
0.000 0.485 0.406
0.000 0.015 0.906
0.000 0.985 0.094
0.000 0.688 0.202
0.000 0.312 0.798
0.000 0.188 0.298
0.000 0.812 0.702
0.500 0.605 0.498
0.500 0.395 0.502
0.500 0.105 0.002
0.500 0.895 0.998
0.000 0.609 0.832
0.000 0.391 0.168
0.000 0.109 0.668
0.000 0.891 0.332
0.500 0.715 0.598
0.500 0.285 0.402
0.500 0.215 0.902
0.500 0.785 0.098
0.500 0.720 0.355
0.500 0.280 0.645
0.500 0.220 0.145
0.500 0.780 0.855
0.500 0.516 0.094
0.500 0.484 0.906
0.500 0.016 0.406
0.500 0.984 0.594
0.500 0.559 0.735
0.500 0.441 0.265
0.500 0.059 0.765
0.500 0.941 0.235
```

Record 2
Material: Nb2B2Os
Method: DFT, GGA-PBEsol
State: optimized geometry

Results
- SG = P4/mnc (128)
- ΔE to the lowest computed polymorph (eV/f.u.) = 0.00
- formation energy from the elements (eV per atom) = -0.631

POSCAR file:
```
Nb2B2Os
1.0
5.897 0.000 0.000
0.000 5.897 0.000
0.000 0.000 6.830
Nb B Os
8 8 4
direct
0.664 0.813 0.500
0.336 0.187 0.500
0.836 0.313 0.000
0.164 0.687 0.000
0.813 0.336 0.500
0.187 0.664 0.500
0.313 0.164 0.000
0.687 0.836 0.000
0.386 0.886 0.250
0.614 0.114 0.250
0.114 0.386 0.750
0.886 0.614 0.750
0.886 0.614 0.250
0.114 0.386 0.250
0.386 0.886 0.750
0.614 0.114 0.750
0.500 0.500 0.220
0.000 0.000 0.720
0.500 0.500 0.780
0.000 0.000 0.280
```

Record 3
Material: NbB3Pd
Method: DFT, GGA-PBEsol
State: optimized geometry

Results
- SG = Pm-3m (221)
- formation energy from the elements (eV per atom) = 1.296

POSCAR file:
```
NbB3Pd
1.0
3.953 0.000 0.000
0.000 3.953 0.000
0.000 0.000 3.953
Nb B Pd
1 3 1
direct
0.500 0.500 0.500
0.000 0.500 0.000
0.000 0.000 0.500
0.500 0.000 0.000
0.000 0.000 0.000
```

Copy entry 2 word for word.
Material: Nb2B2Os
Method: DFT, GGA-PBEsol
State: optimized geometry

Results
- SG = P4/mnc (128)
- ΔE to the lowest computed polymorph (eV/f.u.) = 0.00
- formation energy from the elements (eV per atom) = -0.631

POSCAR file:
```
Nb2B2Os
1.0
5.897 0.000 0.000
0.000 5.897 0.000
0.000 0.000 6.830
Nb B Os
8 8 4
direct
0.664 0.813 0.500
0.336 0.187 0.500
0.836 0.313 0.000
0.164 0.687 0.000
0.813 0.336 0.500
0.187 0.664 0.500
0.313 0.164 0.000
0.687 0.836 0.000
0.386 0.886 0.250
0.614 0.114 0.250
0.114 0.386 0.750
0.886 0.614 0.750
0.886 0.614 0.250
0.114 0.386 0.250
0.386 0.886 0.750
0.614 0.114 0.750
0.500 0.500 0.220
0.000 0.000 0.720
0.500 0.500 0.780
0.000 0.000 0.280
```

Which of these has the lowest formation energy from the elements? Nb2B2Os

What is the formula in the second record? Nb2B2Os